Material: MgTe2Au
Method: DFT, SCAN
State: PBEsol geometry

abc: 4.1287 4.1287 7.1107
angles: 73.12 73.12 60.00
Closest atoms and distances in Å follow each position.
Fractional positions:
Au  0.5000  0.5000  0.5000  6 Te 2.87
Mg  0.0000  0.0000  0.0000  6 Te 2.96
Te  0.2463  0.2463  0.2612  3 Au 2.87, 3 Mg 2.96
Te  0.7537  0.7537  0.7388  3 Au 2.87, 3 Mg 2.96

Summary:
- Total magnetic moment: 0.0 μB/cell
- Energy: -149.92 eV for the cell shown
- Formation energy without anion corrections: -322 meV per atom

Material: InSiBiH2
Method: DFT, SCAN
State: PBEsol geometry

abc: 4.0647 4.0647 5.7389
angles: 90.00 90.00 90.00
Closest atoms and distances in Å follow each position.
Fractional positions:
H  0.0000  0.5000  0.0000  2 Bi 2.03
H  0.5000  0.0000  0.0000  2 Bi 2.03
Si  0.0000  0.0000  0.5000  2 Bi 2.87, 4 In 2.87
Bi  0.0000  0.0000  0.0000  4 H 2.03
In  0.5000  0.5000  0.5000  4 Si 2.87

Summary:
- Total magnetic moment: 0.0 μB/cell
- Energy: -126.15 eV for the cell shown

Material: Sr11Ge4N6
Method: DFT, SCAN
State: PBEsol geometry

abc: 7.2148 7.2148 18.5528
angles: 90.00 90.00 90.00
Closest atoms and distances in Å follow each position.
Fractional positions:
Sr  0.8293  0.6707  0.5991  1 N 2.44
Sr  0.2208  0.2792  0.1301  2 N 2.58
Sr  0.0000  0.0000  0.7252  1 N 2.42
Sr  0.7792  0.2792  0.8699  2 N 2.58
Sr  0.3293  0.8293  0.5991  1 N 2.44
Sr  0.6707  0.8293  0.4009  1 N 2.44
Sr  0.1707  0.3293  0.5991  1 N 2.44
Sr  0.7208  0.2208  0.1301  2 N 2.58
Sr  0.7792  0.7208  0.1301  2 N 2.58
Sr  0.2792  0.2208  0.8699  2 N 2.58
Sr  0.1707  0.6707  0.4009  1 N 2.44
Sr  0.2792  0.7792  0.1301  2 N 2.58
Sr  0.0000  0.0000  0.0000  2 N 2.68
Sr  0.5000  0.5000  0.7252  1 N 2.42
Sr  0.6707  0.1707  0.5991  1 N 2.44
Sr  0.3293  0.1707  0.4009  1 N 2.44
Sr  0.2208  0.7208  0.8699  2 N 2.58
Sr  0.8293  0.3293  0.4009  1 N 2.44
Sr  0.7208  0.7792  0.8699  2 N 2.58
Sr  0.5000  0.5000  0.0000  2 N 2.68
Sr  0.0000  0.0000  0.2748  1 N 2.42
Sr  0.5000  0.5000  0.2748  1 N 2.42
Ge  0.0000  0.5000  0.2572  2 N 1.85
Ge  0.5000  0.0000  0.7428  2 N 1.85
Ge  0.0000  0.5000  0.7428  2 N 1.85
Ge  0.0000  0.5000  0.0000  8 Sr 3.30-3.61
Ge  0.5000  0.5000  0.5000  8 Sr 3.25
Ge  0.5000  0.0000  0.2572  2 N 1.85
Ge  0.0000  0.0000  0.5000  8 Sr 3.25
Ge  0.5000  0.0000  0.0000  8 Sr 3.30-3.61
N  0.5000  0.5000  0.8557  6 Sr 2.42-2.68
N  0.0000  0.0000  0.8557  6 Sr 2.42-2.68
N  0.6453  0.8547  0.6835  1 Ge 1.85
N  0.3547  0.8547  0.3165  1 Ge 1.85
N  0.1453  0.6453  0.6835  1 Ge 1.85
N  0.5000  0.5000  0.1443  6 Sr 2.42-2.68
N  0.1453  0.3547  0.3165  1 Ge 1.85
N  0.6453  0.1453  0.3165  1 Ge 1.85
N  0.8547  0.3547  0.6835  1 Ge 1.85
N  0.3547  0.1453  0.6835  1 Ge 1.85
N  0.8547  0.6453  0.3165  1 Ge 1.85
N  0.0000  0.0000  0.1443  6 Sr 2.42-2.68

Summary:
- Total magnetic moment: 0.0 μB/cell
- Energy: -785.67 eV for the cell shown
- Formation energy without anion corrections: -748 meV per atom

Material: Be2TcIr
Method: DFT, SCAN
State: PBEsol geometry

abc: 2.7501 4.4649 4.6221
angles: 118.88 107.31 90.00
Closest atoms and distances in Å follow each position.
Fractional positions:
Be  0.7564  0.7564  0.5128  2 Ir 2.31, 2 Tc 2.39
Be  0.2436  0.2436  0.4872  2 Ir 2.31, 2 Tc 2.39
Ir  0.5000  0.0000  0.0000  4 Be 2.31
Tc  0.0000  0.5000  0.0000  4 Be 2.39, 4 Ir 2.62

Summary:
- Total magnetic moment: 0.0 μB/cell
- Energy: -115.61 eV for the cell shown
- Energy of formation from the pure elements: -186 meV per atom

Material: Cd3P2
Method: DFT, SCAN
State: PBEsol geometry

abc: 4.0362 4.0362 7.6691
angles: 74.74 74.74 60.00
Closest atoms and distances in Å follow each position.
Fractional positions:
Cd  0.0000  0.0000  0.0000  6 P 2.80
Cd  0.2116  0.2116  0.3652  3 P 2.58
Cd  0.7884  0.7884  0.6348  3 P 2.58
P  0.5960  0.5960  0.2121  6 Cd 2.58-2.80
P  0.4040  0.4040  0.7879  6 Cd 2.58-2.80

Summary:
- Total magnetic moment: 0.0 μB/cell
- Energy: -111.32 eV for the cell shown
- Excess energy over the best structure of this formula in the dataset: 1.24 eV/f.u.
- Energy of formation from the pure elements: 144 meV per atom

Material: CaBe3
Method: DFT, SCAN
State: PBEsol geometry

abc: 2.5347 4.9033 4.9033
angles: 110.90 90.00 90.00
Closest atoms and distances in Å follow each position.
Fractional positions:
Be  0.5000  0.0000  0.5000  8 Be 2.53-2.78, 4 Ca 2.76
Be  0.5000  0.5000  0.0000  8 Be 2.53-2.78, 4 Ca 2.76
Be  0.0000  0.5000  0.5000  10 Be 2.53-2.76, 2 Ca 2.78
Ca  0.0000  0.0000  0.0000  2 Ca 2.53, 10 Be 2.76-2.78

Summary:
- Total magnetic moment: 0.1 μB/cell
- Energy: -18.99 eV for the cell shown
- Excess energy over the best structure of this formula in the dataset: 1.83 eV/f.u.
- Energy of formation from the pure elements: 934 meV per atom

For the records above, the corresponding calculated density values read 8.00 6.20 4.60 10.95 6.43 1.96 g/cm3.